Record 1
This record from Alexandria via LeMat-Bulk describes crystalline PaSiC at its relaxed geometry. The functional is PBE.

Values from the calculation:
- Total magnetization: 0.0 μB per formula unit
- SG: I4mm (107)
- Polymorph energy (0 for the lowest one): 35.1 kJ per mole of atoms
- E_tot: -7.7983 eV per atom
- Uncorrected formation energy: 0.249 eV/atom
- Fermi-level density of states: 3.0 states/eV/f.u.

Lattice parameters (Å, degrees): 4.404 4.404 4.404 127.17 127.17 77.97
Fractional coordinates of all 3 atoms:
1 Pa 0.000 0.000 0.000
2 Si 0.604 0.604 0.000
3 C 0.340 0.340 0.000

Record 2
This record from Alexandria via LeMat-Bulk describes crystalline YCoIr2 at its relaxed geometry. The functional is PBE.

Values from the calculation:
- Total magnetization: 2.6 μB per formula unit
- SG: Pmmm (47)
- Polymorph energy (0 for the lowest one): 6.6 kJ per mole of atoms
- E_tot: -7.9400 eV per atom
- ΔH_f (0 K): -0.12 eV per atom
- Fermi-level density of states: 4.4 states/eV/f.u.

Lattice parameters (Å, degrees): 3.030 3.510 6.263 90.00 90.00 90.00
Fractional coordinates of all 4 atoms:
1 Y 0.000 0.000 0.000
2 Co 0.000 0.000 0.500
3 Ir 0.500 0.500 0.291
4 Ir 0.500 0.500 0.709

Record 3
This record from Alexandria via LeMat-Bulk describes crystalline Mg2IrRu at its relaxed geometry. The functional is PBE.

Values from the calculation:
- Total magnetization: 0.0 μB per formula unit
- SG: P4mm (99)
- E_tot: -5.4453 eV per atom
- ΔH_f (0 K): -0.11 eV per atom
- Fermi-level density of states: 1.5 states/eV/f.u.

Lattice parameters (Å, degrees): 2.838 2.838 8.370 90.00 90.00 90.00
Fractional coordinates of all 4 atoms:
1 Mg 0.000 0.000 0.000
2 Mg 0.500 0.500 0.324
3 Ir 0.500 0.500 0.765
4 Ru 0.000 0.000 0.562